The following is a PBE-GGA calculation of a relaxed SrPbSe2 crystal, from Alexandria via LeMat-Bulk.

The calculation puts the formation energy from raw total energies at -53 kJ per mole of atoms. The crystal system is trigonal. The density of states at the Fermi level is 5.6 states/eV per cell.

a = 9.3234 Å, b = 9.3234 Å, c = 9.3234 Å
α = 27.97°, β = 27.97°, γ = 27.97°
Element x y z (fractional)
Sr  0.0000  0.0000  0.0000
Pb  0.5000  0.5000  0.5000
Se  0.1058  0.1058  0.1058
Se  0.8942  0.8942  0.8942